1.
A relaxed structure of MgCuRe2, computed with PBE.

Results
- Energy of formation from the pure elements: 27.3 kJ per mole of atoms
- M_tot: 0.00 Bohr magnetons per cell

Lattice parameters (Å, degrees): 5.3120 5.3120 4.4711 108.51 108.51 30.62
Positions (direct):
Mg (0.0000, 0.0000, 0.0000)
Cu (0.5000, 0.5000, 0.5000)
Re (0.2253, 0.2253, 0.7302)
Re (0.7747, 0.7747, 0.2698)


2.
A relaxed structure of Mg2CuRe, computed with PBE.

Results
- Energy of formation from the pure elements: 30.2 kJ per mole of atoms
- Polymorph energy (0 for the lowest one): 147 meV per atom
- M_tot: 0.00 Bohr magnetons per cell

Lattice parameters (Å, degrees): 5.3396 5.3396 5.3396 148.89 127.71 62.10
Positions (direct):
Mg (0.2302, 0.2302, 0.0000)
Mg (0.7698, 0.7698, 0.0000)
Cu (0.0000, 0.5000, 0.5000)
Re (0.5000, 0.0000, 0.5000)


3.
A relaxed structure of MgCuRe2, computed with PBE.

Results
- Energy of formation from the pure elements: 64.0 kJ per mole of atoms
- M_tot: 0.00 Bohr magnetons per cell

Lattice parameters (Å, degrees): 4.6794 4.6794 2.6613 90.00 90.00 90.00
Positions (direct):
Mg (0.0000, 0.0000, 0.0000)
Cu (0.5000, 0.5000, 0.0000)
Re (0.0000, 0.5000, 0.5000)
Re (0.5000, 0.0000, 0.5000)


4.
A relaxed structure of MgCu2Re, computed with PBE.

Results
- Energy of formation from the pure elements: 39.9 kJ per mole of atoms
- M_tot: 0.00 Bohr magnetons per cell

Lattice parameters (Å, degrees): 5.3703 5.3703 5.3703 151.28 128.12 60.38
Positions (direct):
Mg (0.0000, 0.0000, 0.0000)
Cu (0.2559, 0.7559, 0.5000)
Cu (0.7441, 0.2441, 0.5000)
Re (0.5000, 0.5000, 0.0000)


5.
A relaxed structure of Mg2CuRe, computed with PBE.

Results
- Energy of formation from the pure elements: 19.9 kJ per mole of atoms
- Polymorph energy (0 for the lowest one): 40 meV per atom
- M_tot: 0.00 Bohr magnetons per cell

Lattice parameters (Å, degrees): 9.2805 9.2805 9.2805 17.53 17.53 17.53
Positions (direct):
Mg (0.2474, 0.2474, 0.2474)
Mg (0.7526, 0.7526, 0.7526)
Cu (0.5000, 0.5000, 0.5000)
Re (0.0000, 0.0000, 0.0000)


6.
A relaxed structure of MgCu2Re, computed with PBE.

Results
- Energy of formation from the pure elements: 25.9 kJ per mole of atoms
- M_tot: 0.00 Bohr magnetons per cell

Lattice parameters (Å, degrees): 2.6738 3.8291 5.5669 90.00 90.00 90.00
Positions (direct):
Mg (0.0000, 0.0000, 0.0000)
Cu (0.5000, 0.5000, 0.2688)
Cu (0.5000, 0.5000, 0.7312)
Re (0.0000, 0.0000, 0.5000)